Computed, not measured: an optimized crystal structure of AlPd6Pt3 at the PBE level of DFT.

Geometry as extended XYZ:
```
20
Lattice="-3.270 0.932 2.053 -2.099 -8.413 0.475 4.607 -0.424 7.531" Properties=species:S:1:pos:R:3 pbc="T T T"
Al 0.057 -7.926 5.609
Al -0.819 0.021 4.450
Pd -1.308 -3.597 1.470
Pd 0.546 -4.308 8.589
Pd -0.258 -1.153 2.035
Pd -0.505 -6.752 8.024
Pd 1.031 -5.561 6.088
Pd -1.794 -2.344 3.970
Pd 0.982 -1.881 4.340
Pd -1.745 -6.024 5.718
Pd -1.169 -7.247 3.348
Pd 0.407 -0.658 6.711
Pd 3.200 -0.534 7.262
Pd -3.963 -7.372 2.797
Pt -0.131 -4.585 3.794
Pt -0.632 -3.321 6.265
Pt 2.110 -3.004 6.646
Pt -2.872 -4.901 3.413
Pt -2.340 -6.086 0.956
Pt 1.577 -1.819 9.103
```

Results
calculated formation energy = -6.29 kcal/mol of atoms
polymorph energy (0 for the lowest one) = 0 meV per atom
V = 305 Å³/cell
magnetization = 0.00 μB/atom